Entry 1:
The following is a DFT calculation (PBE) of a relaxed Sc4AlAu3 crystal. Values from VASP.

E_form   -0.715 eV per atom
Space group   R-3m, No. 166
Mass density   8.4 g cm⁻³

The structure in Quantum ESPRESSO input format:
```
&SYSTEM
  ibrav = 0, nat = 8, ntyp = 3
/
ATOMIC_SPECIES
Sc 44.96 Sc.upf
Al 26.98 Al.upf
Au 196.97 Au.upf
CELL_PARAMETERS angstrom
2.397 1.384 7.935
-2.397 1.384 7.935
0.000 -2.768 7.935
ATOMIC_POSITIONS angstrom
Sc 0.000 0.000 2.879
Sc 0.000 0.000 8.892
Sc 0.000 0.000 14.913
Sc 0.000 0.000 20.926
Al 0.000 0.000 11.902
Au 0.000 0.000 0.000
Au 0.000 0.000 5.687
Au 0.000 0.000 18.118
```



Entry 2:
The following is a DFT calculation (PBE) of a relaxed ScAlAu2 crystal. Values from VASP.

E_form   -0.293 eV per atom
Space group   R3m, No. 160
Mass density   9.6 g cm⁻³

The structure in Quantum ESPRESSO input format:
```
&SYSTEM
  ibrav = 0, nat = 4, ntyp = 3
/
ATOMIC_SPECIES
Sc 44.96 Sc.upf
Al 26.98 Al.upf
Au 196.97 Au.upf
CELL_PARAMETERS angstrom
1.680 0.970 8.264
-1.680 0.970 8.264
0.000 -1.939 8.264
ATOMIC_POSITIONS angstrom
Sc 0.000 0.000 0.000
Al 0.000 0.000 18.870
Au 0.000 0.000 6.296
Au 0.000 0.000 12.326
```



Entry 3:
The following is a DFT calculation (PBE) of a relaxed Sc2AlAu crystal. Values from VASP.

E_form   -0.609 eV per atom
Space group   P4/mmm, No. 123
Mass density   6.7 g cm⁻³

The structure in Quantum ESPRESSO input format:
```
&SYSTEM
  ibrav = 0, nat = 4, ntyp = 3
/
ATOMIC_SPECIES
Sc 44.96 Sc.upf
Al 26.98 Al.upf
Au 196.97 Au.upf
CELL_PARAMETERS angstrom
3.478 0.000 0.000
0.000 3.478 0.000
0.000 0.000 6.467
ATOMIC_POSITIONS angstrom
Sc 0.000 0.000 1.609
Sc 0.000 0.000 4.859
Al 1.739 1.739 3.234
Au 1.739 1.739 0.000
```



Entry 4:
The following is a DFT calculation (PBE) of a relaxed ScAlAu3 crystal. Values from VASP.

Energy relative to the lowest polymorph listed for this composition   112.8 meV/atom
E_form   -0.503 eV per atom
Space group   Pm, No. 6
Mass density   11.6 g cm⁻³

The structure in Quantum ESPRESSO input format:
```
&SYSTEM
  ibrav = 0, nat = 10, ntyp = 3
/
ATOMIC_SPECIES
Sc 44.96 Sc.upf
Al 26.98 Al.upf
Au 196.97 Au.upf
CELL_PARAMETERS angstrom
4.882 0.000 0.000
0.000 3.500 0.000
-0.680 0.000 11.113
ATOMIC_POSITIONS angstrom
Sc 0.000 0.000 0.000
Sc 1.818 0.000 8.448
Al 0.202 1.750 6.191
Al 2.015 1.750 3.796
Au -0.106 1.750 2.250
Au 1.799 1.750 10.631
Au 2.368 0.000 1.856
Au 2.619 1.750 6.376
Au 4.132 0.000 4.476
Au 4.262 1.750 8.814
```



Entry 5:
The following is a DFT calculation (PBE) of a relaxed ScAl2Au crystal. Values from VASP.

E_form   -0.424 eV per atom
Space group   P4mm, No. 99
Mass density   6.8 g cm⁻³

The structure in Quantum ESPRESSO input format:
```
&SYSTEM
  ibrav = 0, nat = 4, ntyp = 3
/
ATOMIC_SPECIES
Sc 44.96 Sc.upf
Al 26.98 Al.upf
Au 196.97 Au.upf
CELL_PARAMETERS angstrom
3.453 0.000 0.000
0.000 3.453 0.000
0.000 0.000 6.075
ATOMIC_POSITIONS angstrom
Sc 0.000 0.000 0.000
Al 0.000 0.000 3.042
Al 1.727 1.727 1.650
Au 1.727 1.727 4.446
```



Entry 6:
The following is a DFT calculation (PBE) of a relaxed ScAl2Au crystal. Values from VASP.

E_form   -0.320 eV per atom
Space group   I4/mmm, No. 139
Mass density   6.6 g cm⁻³

The structure in Quantum ESPRESSO input format:
```
&SYSTEM
  ibrav = 0, nat = 4, ntyp = 3
/
ATOMIC_SPECIES
Sc 44.96 Sc.upf
Al 26.98 Al.upf
Au 196.97 Au.upf
CELL_PARAMETERS angstrom
-2.026 2.026 4.533
2.026 -2.026 4.533
2.026 2.026 -4.533
ATOMIC_POSITIONS angstrom
Sc 0.000 0.000 0.000
Al 2.026 0.000 2.266
Al 0.000 2.026 2.266
Au 0.000 0.000 4.533
```



Entry 7:
The following is a DFT calculation (PBE) of a relaxed Sc5AlAu crystal. Values from VASP.

E_form   -0.216 eV per atom
Space group   C2/c, No. 15
Mass density   4.7 g cm⁻³

The structure in Quantum ESPRESSO input format:
```
&SYSTEM
  ibrav = 0, nat = 14, ntyp = 3
/
ATOMIC_SPECIES
Sc 44.96 Sc.upf
Al 26.98 Al.upf
Au 196.97 Au.upf
CELL_PARAMETERS angstrom
4.030 -4.106 0.000
4.030 4.106 0.000
-0.374 0.000 9.640
ATOMIC_POSITIONS angstrom
Sc 2.538 2.367 1.606
Sc 3.749 2.940 7.230
Sc 2.595 0.855 4.770
Sc 5.335 2.367 3.215
Sc 2.408 -0.855 9.590
Sc 5.278 0.855 0.050
Sc 2.351 -2.367 6.426
Sc 5.091 -0.855 4.870
Sc 3.936 -2.940 2.410
Sc 5.148 -2.367 8.035
Al 3.749 0.086 7.230
Al 3.936 -0.086 2.410
Au 0.000 0.000 0.000
Au -0.187 0.000 4.820
```



Entry 8:
The following is a DFT calculation (PBE) of a relaxed ScAlAu2 crystal. Values from VASP.

E_form   -0.528 eV per atom
Space group   I-4m2, No. 119
Mass density   10.8 g cm⁻³

The structure in Quantum ESPRESSO input format:
```
&SYSTEM
  ibrav = 0, nat = 4, ntyp = 3
/
ATOMIC_SPECIES
Sc 44.96 Sc.upf
Al 26.98 Al.upf
Au 196.97 Au.upf
CELL_PARAMETERS angstrom
-2.146 2.146 3.901
2.146 -2.146 3.901
2.146 2.146 -3.901
ATOMIC_POSITIONS angstrom
Sc 0.000 0.000 0.000
Al 2.146 0.000 1.950
Au 0.000 0.000 3.901
Au 0.000 2.146 1.950
```



Entry 9:
The following is a DFT calculation (PBE) of a relaxed ScAl3Au crystal. Values from VASP.

Energy relative to the lowest polymorph listed for this composition   861.1 meV/atom
E_form   1.077 eV per atom
Space group   Pm-3m, No. 221
Mass density   3.9 g cm⁻³

The structure in Quantum ESPRESSO input format:
```
&SYSTEM
  ibrav = 0, nat = 5, ntyp = 3
/
ATOMIC_SPECIES
Sc 44.96 Sc.upf
Al 26.98 Al.upf
Au 196.97 Au.upf
CELL_PARAMETERS angstrom
5.182 0.000 0.000
0.000 5.182 0.000
0.000 0.000 5.182
ATOMIC_POSITIONS angstrom
Sc 0.000 0.000 0.000
Al 0.000 0.000 2.591
Al 0.000 2.591 0.000
Al 2.591 0.000 0.000
Au 2.591 2.591 2.591
```



Entry 10:
The following is a DFT calculation (PBE) of a relaxed ScAl2Au crystal. Values from VASP.

E_form   -0.442 eV per atom
Space group   Pmm2, No. 25
Mass density   6.5 g cm⁻³

The structure in Quantum ESPRESSO input format:
```
&SYSTEM
  ibrav = 0, nat = 4, ntyp = 3
/
ATOMIC_SPECIES
Sc 44.96 Sc.upf
Al 26.98 Al.upf
Au 196.97 Au.upf
CELL_PARAMETERS angstrom
3.160 0.000 0.000
0.000 4.485 0.000
0.000 0.000 5.346
ATOMIC_POSITIONS angstrom
Sc 0.000 0.000 0.000
Al 1.580 0.000 2.677
Al 1.580 2.242 4.056
Au 1.580 2.242 1.317
```



Entry 11:
The following is a DFT calculation (PBE) of a relaxed Sc2AlAu3 crystal. Values from VASP.

E_form   -0.729 eV per atom
Space group   P-3m1, No. 164
Mass density   10.5 g cm⁻³

The structure in Quantum ESPRESSO input format:
```
&SYSTEM
  ibrav = 0, nat = 12, ntyp = 3
/
ATOMIC_SPECIES
Sc 44.96 Sc.upf
Al 26.98 Al.upf
Au 196.97 Au.upf
CELL_PARAMETERS angstrom
4.712 0.000 0.000
-2.356 4.081 0.000
0.000 0.000 11.592
ATOMIC_POSITIONS angstrom
Sc 0.000 0.000 0.000
Sc 0.000 0.000 5.796
Sc 0.000 2.721 2.042
Sc 2.356 1.360 9.550
Al 0.000 2.721 7.687
Al 2.356 1.360 3.905
Au 0.000 0.000 2.877
Au 0.000 0.000 8.714
Au 0.000 2.721 4.882
Au 0.000 2.721 10.554
Au 2.356 1.360 1.038
Au 2.356 1.360 6.710
```



Entry 12:
The following is a DFT calculation (PBE) of a relaxed Sc4Al2Au crystal. Values from VASP.

E_form   -0.364 eV per atom
Space group   Cmmm, No. 65
Mass density   4.7 g cm⁻³

The structure in Quantum ESPRESSO input format:
```
&SYSTEM
  ibrav = 0, nat = 7, ntyp = 3
/
ATOMIC_SPECIES
Sc 44.96 Sc.upf
Al 26.98 Al.upf
Au 196.97 Au.upf
CELL_PARAMETERS angstrom
3.393 -4.753 0.000
3.393 4.753 0.000
0.000 0.000 4.719
ATOMIC_POSITIONS angstrom
Sc 1.697 2.377 2.359
Sc 1.599 0.000 0.000
Sc 1.697 -2.377 2.359
Sc 5.188 0.000 0.000
Al 3.393 2.356 0.000
Al 3.393 -2.356 0.000
Au 3.393 0.000 2.359
```



| no. | calculated total energy (eV per atom) | size of the total moment (μB per atom) |
| --- | --- | --- |
| 1 | -5.577 | 0.0000 |
| 2 | -4.451 | 0.0000 |
| 3 | -5.530 | 0.0006 |
| 4 | -4.485 | 0.0000 |
| 5 | -4.698 | 0.0000 |
| 6 | -4.593 | 0.0000 |
| 7 | -5.741 | 0.0000 |
| 8 | -4.685 | 0.0000 |
| 9 | -3.091 | 0.0000 |
| 10 | -4.715 | 0.0000 |
| 11 | -5.102 | 0.0000 |
| 12 | -5.520 | 0.0000 |